# Y4InSn | Alexandria | PBE | optimized geometry
data_Y4InSn
_cell_length_a 5.1382
_cell_length_b 5.1382
_cell_length_c 24.7280
_cell_angle_alpha 90.00
_cell_angle_beta 90.00
_cell_angle_gamma 120.00
_symmetry_space_group_name_H-M 'R -3 m'
_symmetry_Int_Tables_number 166
_symmetry_space_group_name_Hall '-R 3 2"'
loop_
_atom_site_label
_atom_site_type_symbol
_atom_site_fract_x
_atom_site_fract_y
_atom_site_fract_z
Y1 Y 0.0000 0.0000 0.1270
Y2 Y 0.0000 0.0000 0.2857
In1 In 0.0000 0.0000 0.0000
Sn1 Sn 0.0000 0.0000 0.5000
# * formation energy from the elements: -1.64 eV per formula unit